DFT (PBE) results for a geometry-optimized CsRb2Tl2 structure.

Values from the calculation:
Distance to the lowest polymorph of the same formula, meV per atom: 70

Cell and atoms, written as CIF:
```
data_CsRb2Tl2
_chemical_formula_sum 'Cs2 Rb4 Tl4'
_space_group_name_H-M_alt 'I 4/m m m'
_space_group_IT_number 139
_space_group_name_Hall '-I 4 2'
_cell_length_a 6.190
_cell_length_b 6.190
_cell_length_c 15.253
_cell_angle_alpha 90.00
_cell_angle_beta 90.00
_cell_angle_gamma 90.00
loop_
_atom_site_label
_atom_site_fract_x
_atom_site_fract_y
_atom_site_fract_z
Cs1 0.000 0.000 0.000
Rb1 0.000 0.500 0.250
Tl1 0.000 0.000 0.404
```

DFT (PBE) results for a geometry-optimized CaTm2Al structure.

Values from the calculation:
Distance to the lowest polymorph of the same formula, meV per atom: 122

Cell and atoms, written as CIF:
```
data_CaTm2Al
_chemical_formula_sum 'Ca4 Tm8 Al4'
_space_group_name_H-M_alt 'F m -3 m'
_space_group_IT_number 225
_space_group_name_Hall '-F 4 2 3'
_cell_length_a 7.537
_cell_length_b 7.537
_cell_length_c 7.537
_cell_angle_alpha 90.00
_cell_angle_beta 90.00
_cell_angle_gamma 90.00
loop_
_atom_site_label
_atom_site_fract_x
_atom_site_fract_y
_atom_site_fract_z
Ca1 0.000 0.000 0.000
Tm1 0.250 0.250 0.250
Al1 0.000 0.000 0.500
```

DFT (PBE) results for a geometry-optimized TaHg2Os structure.

Values from the calculation:
Distance to the lowest polymorph of the same formula, meV per atom: 419

Cell and atoms, written as CIF:
```
data_TaHg2Os
_chemical_formula_sum 'Ta1 Hg2 Os1'
_space_group_name_H-M_alt 'P 4/m m m'
_space_group_IT_number 123
_space_group_name_Hall '-P 4 2'
_cell_length_a 3.979
_cell_length_b 3.979
_cell_length_c 4.649
_cell_angle_alpha 90.00
_cell_angle_beta 90.00
_cell_angle_gamma 90.00
loop_
_atom_site_label
_atom_site_fract_x
_atom_site_fract_y
_atom_site_fract_z
Ta1 0.000 0.000 0.000
Hg1 0.000 0.500 0.500
Os1 0.500 0.500 0.000
```

DFT (PBE) results for a geometry-optimized MgZnRe2Sb structure.

Values from the calculation:
Energy relative to the elements, uncorrected, eV/atom: 1.3787

Cell and atoms, written as CIF:
```
data_MgZnRe2Sb
_chemical_formula_sum 'Mg1 Zn1 Re2 Sb1'
_space_group_name_H-M_alt 'P 4/m m m'
_space_group_IT_number 123
_space_group_name_Hall '-P 4 2'
_cell_length_a 4.674
_cell_length_b 4.674
_cell_length_c 4.441
_cell_angle_alpha 90.00
_cell_angle_beta 90.00
_cell_angle_gamma 90.00
loop_
_atom_site_label
_atom_site_fract_x
_atom_site_fract_y
_atom_site_fract_z
Mg1 0.000 0.000 0.000
Zn1 0.000 0.000 0.500
Re1 0.000 0.500 0.500
Sb1 0.500 0.500 0.000
```

DFT (PBE) results for a geometry-optimized Pa3OsN7 structure.

Values from the calculation:
Energy relative to the elements, uncorrected, eV/atom: -1.0238

Cell and atoms, written as CIF:
```
data_Pa3OsN7
_chemical_formula_sum 'Pa12 Os4 N28'
_space_group_name_H-M_alt 'C 2 2 21'
_space_group_IT_number 20
_space_group_name_Hall 'C 2c 2'
_cell_length_a 7.512
_cell_length_b 10.534
_cell_length_c 7.447
_cell_angle_alpha 90.00
_cell_angle_beta 90.00
_cell_angle_gamma 90.00
loop_
_atom_site_label
_atom_site_fract_x
_atom_site_fract_y
_atom_site_fract_z
Pa1 0.003 0.000 0.000
Pa2 0.233 0.266 0.751
Os1 0.003 0.500 0.000
N1 0.000 0.127 0.250
N2 0.000 0.135 0.750
N3 0.000 0.445 0.750
N4 0.210 0.375 0.028
N5 0.213 0.375 0.475
```

DFT (PBE) results for a geometry-optimized NbIrRu structure.

Values from the calculation:
Distance to the lowest polymorph of the same formula, meV per atom: 0

Cell and atoms, written as CIF:
```
data_NbIrRu
_chemical_formula_sum 'Nb2 Ir2 Ru2'
_space_group_name_H-M_alt 'P 63/m m c'
_space_group_IT_number 194
_space_group_name_Hall '-P 6c 2c'
_cell_length_a 4.4435
_cell_length_b 4.4435
_cell_length_c 5.5087
_cell_angle_alpha 90.00
_cell_angle_beta 90.00
_cell_angle_gamma 120.00
loop_
_atom_site_label
_atom_site_fract_x
_atom_site_fract_y
_atom_site_fract_z
Nb1 0.3333 0.6667 0.2500
Ir1 0.3333 0.6667 0.7500
Ru1 0.0000 0.0000 0.0000
```

DFT (PBE) results for a geometry-optimized Zn2CdPd6 structure.

Values from the calculation:
Distance to the lowest polymorph of the same formula, meV per atom: 0

Cell and atoms, written as CIF:
```
data_Zn2CdPd6
_chemical_formula_sum 'Zn4 Cd2 Pd12'
_space_group_name_H-M_alt 'C 1 2/m 1'
_space_group_IT_number 12
_space_group_name_Hall '-C 2y'
_cell_length_a 8.541
_cell_length_b 4.069
_cell_length_c 8.294
_cell_angle_alpha 90.00
_cell_angle_beta 104.14
_cell_angle_gamma 90.00
loop_
_atom_site_label
_atom_site_fract_x
_atom_site_fract_y
_atom_site_fract_z
Zn1 0.184 0.000 0.238
Cd1 0.000 0.500 0.000
Pd1 0.007 0.500 0.332
Pd2 0.163 0.000 0.888
Pd3 0.164 0.000 0.553
```

DFT (PBE) results for a geometry-optimized Zn2InAu structure.

Values from the calculation:
Raw total energy, eV per atom: -2.131

Cell and atoms, written as CIF:
```
data_Zn2InAu
_chemical_formula_sum 'Zn4 In2 Au2'
_space_group_name_H-M_alt 'I m m m'
_space_group_IT_number 71
_space_group_name_Hall '-I 2 2'
_cell_length_a 3.169
_cell_length_b 5.332
_cell_length_c 9.108
_cell_angle_alpha 90.00
_cell_angle_beta 90.00
_cell_angle_gamma 90.00
loop_
_atom_site_label
_atom_site_fract_x
_atom_site_fract_y
_atom_site_fract_z
Zn1 0.000 0.000 0.235
In1 0.000 0.500 0.000
Au1 0.000 0.500 0.500
```